No. 1
Density functional theory data (GGA-PBE) for a relaxed BaRu3S crystal.

Values from the calculation:
- Energy relative to the elements, uncorrected: 269 kJ per mole of atoms
- Excess energy over the best structure of this formula in the dataset: 12.17 eV per formula unit
- Total magnetic moment: 6.17 μB/f.u.

Cell lengths 5.1243, 5.1243, 5.1243 Å; angles 90.00, 90.00, 90.00 degrees
With the nearest neighbours (Å) after each atom.
Atoms (fractional coordinates):
Ba 0.0000 0.0000 0.0000  6 Ru 2.56
Ru 0.0000 0.0000 0.5000  2 Ba 2.56
Ru 0.0000 0.5000 0.0000  2 Ba 2.56
Ru 0.5000 0.0000 0.0000  2 Ba 2.56
S 0.5000 0.5000 0.5000  12 Ru 3.62

---

No. 2
Density functional theory data (GGA-PBE) for a relaxed Ba3RuS crystal.

Values from the calculation:
- Energy relative to the elements, uncorrected: -19 kJ per mole of atoms
- Excess energy over the best structure of this formula in the dataset: 0.00 eV per formula unit
- Total magnetic moment: 0.00 μB/f.u.

Cell lengths 5.7688, 5.7688, 5.7688 Å; angles 90.00, 90.00, 90.00 degrees
With the nearest neighbours (Å) after each atom.
Atoms (fractional coordinates):
Ba 0.0000 0.0000 0.5000  2 Ru 2.88
Ba 0.0000 0.5000 0.0000  2 Ru 2.88
Ba 0.5000 0.0000 0.0000  2 Ru 2.88
Ru 0.0000 0.0000 0.0000  6 Ba 2.88
S 0.5000 0.5000 0.5000  12 Ba 4.08

---

The highest excess energy over the best structure of this formula in the dataset belongs to which entry? BaRu3S

---

Which value of excess energy over the best structure of this formula in the dataset does entry 2 give? 0.00 eV per formula unit